(1)
! Fe2RhAu | the Alexandria database | PBE | relaxed; values from VASP
! ΔE_f, eV/atom: 0.09
! Magnetic moment, μB/f.u.: 6.704
&SYSTEM
  ibrav = 0, nat = 4, ntyp = 3
/
ATOMIC_SPECIES
Fe 55.84 Fe.upf
Rh 102.91 Rh.upf
Au 196.97 Au.upf
ATOMIC_POSITIONS crystal
Fe 0.0000 0.0000 0.0000
Fe 0.7500 0.2500 0.5000
Rh 0.2500 0.7500 0.5000
Au 0.5000 0.5000 0.0000
CELL_PARAMETERS angstrom
-1.9121 1.9121 3.9048
1.9121 -1.9121 3.9048
1.9121 1.9121 -3.9048

***

(2)
! FeRhAu2 | the Alexandria database | PBE | relaxed; values from VASP
! ΔE_f, eV/atom: 0.16
! E above lowest polymorph, kJ/mol of atoms: 10.9
! Magnetic moment, μB/f.u.: 3.763
&SYSTEM
  ibrav = 0, nat = 4, ntyp = 3
/
ATOMIC_SPECIES
Fe 55.84 Fe.upf
Rh 102.91 Rh.upf
Au 196.97 Au.upf
ATOMIC_POSITIONS crystal
Fe 0.0000 0.0000 0.0000
Rh 0.5000 0.5000 0.0000
Au 0.0000 0.5000 0.5000
Au 0.5000 0.0000 0.5000
CELL_PARAMETERS angstrom
2.7629 -3.9380 0.0000
2.7629 3.9380 0.0000
-0.0069 0.0000 2.9052

***

(3)
! Fe2RhAu | the Alexandria database | PBE | relaxed; values from VASP
! ΔE_f, eV/atom: 0.09
! Magnetic moment, μB/f.u.: 6.665
&SYSTEM
  ibrav = 0, nat = 4, ntyp = 3
/
ATOMIC_SPECIES
Fe 55.84 Fe.upf
Rh 102.91 Rh.upf
Au 196.97 Au.upf
ATOMIC_POSITIONS crystal
Fe 0.0000 0.0000 0.0000
Fe 0.7785 0.2785 0.5000
Rh 0.5330 0.5330 0.0000
Au 0.2563 0.7563 0.5000
CELL_PARAMETERS angstrom
-1.5117 2.1697 4.3573
1.5117 -2.1697 4.3573
1.5117 2.1697 -4.3573

***

(4)
! FeRhAu2 | the Alexandria database | PBE | relaxed; values from VASP
! ΔE_f, eV/atom: 0.16
! E above lowest polymorph, kJ/mol of atoms: 11.0
! Magnetic moment, μB/f.u.: 3.766
&SYSTEM
  ibrav = 0, nat = 4, ntyp = 3
/
ATOMIC_SPECIES
Fe 55.84 Fe.upf
Rh 102.91 Rh.upf
Au 196.97 Au.upf
ATOMIC_POSITIONS crystal
Fe 0.0000 0.0000 0.0000
Rh 0.0000 0.0000 0.5000
Au 0.5000 0.5000 0.2461
Au 0.5000 0.5000 0.7539
CELL_PARAMETERS angstrom
2.8556 0.0000 0.0000
0.0000 3.9724 0.0000
-0.0151 0.0000 5.5597